The following is a DFT calculation (PBE-GGA) of a geometry-optimized CaRhPb2 structure.

a = 5.1621 Å, b = 5.1621 Å, c = 5.1621 Å
α = 60.00°, β = 60.00°, γ = 60.00°
Closest atoms and distances in Å follow each position.
Fractional positions:
Pb1 0.2500 0.2500 0.2500  4 Ca 3.16, 4 Pb 3.16
Pb2 0.0000 0.0000 0.0000  4 Pb 3.16, 4 Rh 3.16
Ca1 0.5000 0.5000 0.5000  4 Pb 3.16, 4 Rh 3.16
Rh1 0.7500 0.7500 0.7500  4 Pb 3.16, 4 Ca 3.16

Output
formation energy from the elements	-0.075	eV/atom
size of the total moment	0.00	μB/atom
ρ	9.52	g cm⁻³
total DFT energy (no corrections)	-4.27	eV/atom
crystal system	cubic
V	97.3	Å³/f.u.

The following is a DFT calculation (PBE-GGA) of a geometry-optimized PmUNbN3 structure.

a = 3.2864 Å, b = 7.2112 Å, c = 8.2363 Å
α = 92.61°, β = 90.00°, γ = 90.00°
Closest atoms and distances in Å follow each position.
Fractional positions:
N1 0.2500 0.8335 0.5969  3 Nb 2.13-2.21
N2 0.7500 0.1665 0.4031  3 Nb 2.13-2.21
N3 0.7500 0.8536 0.1510  2 U 2.31, 1 Nb 2.34
N4 0.2500 0.5942 0.8953  3 U 2.16-2.33
N5 0.7500 0.4058 0.1047  3 U 2.16-2.33
N6 0.2500 0.1464 0.8490  2 U 2.31, 1 Nb 2.34
Pm1 0.7500 0.8651 0.8259  7 N 2.50-2.68
Pm2 0.2500 0.1349 0.1741  7 N 2.50-2.68
U1 0.2500 0.6296 0.1569  5 N 2.16-2.33
U2 0.7500 0.3704 0.8431  5 N 2.16-2.33
Nb1 0.2500 0.1362 0.5643  4 N 2.13-2.34
Nb2 0.7500 0.8638 0.4357  4 N 2.13-2.34

Output
size of the total moment	0.21	μB/atom
raw formation energy	-23.3	kcal/mol of atoms
ρ	8.82	g cm⁻³
total DFT energy (no corrections)	-9.52	eV/atom
crystal system	monoclinic
V	97.5	Å³/f.u.

The following is a DFT calculation (PBE-GGA) of a geometry-optimized CrP3S structure.

a = 4.3839 Å, b = 4.3839 Å, c = 4.3839 Å
α = 90.00°, β = 90.00°, γ = 90.00°
Closest atoms and distances in Å follow each position.
Fractional positions:
Cr1 0.0000 0.0000 0.0000  6 P 2.19
S1 0.5000 0.5000 0.5000  12 P 3.10
P1 0.0000 0.0000 0.5000  2 Cr 2.19
P2 0.0000 0.5000 0.0000  2 Cr 2.19
P3 0.5000 0.0000 0.0000  2 Cr 2.19

Output
size of the total moment	0.00	μB/atom
raw formation energy	11.2	kcal/mol of atoms
ρ	3.49	g cm⁻³
total DFT energy (no corrections)	-5.51	eV/atom
crystal system	cubic
V	84.3	Å³/f.u.

The following is a DFT calculation (PBE-GGA) of a geometry-optimized Cs2HgH6Au structure.

a = 6.2411 Å, b = 6.2411 Å, c = 6.3867 Å
α = 60.71°, β = 60.71°, γ = 89.90°
Closest atoms and distances in Å follow each position.
Fractional positions:
H1 0.3053 0.6947 0.0000  1 Au 1.72
H2 0.3068 0.3068 0.9983  1 Au 1.71
H3 0.6947 0.3053 0.0000  1 Au 1.72
H4 0.1857 0.1857 0.6280  1 Hg 1.72
H5 0.6932 0.6932 0.0017  1 Au 1.71
H6 0.8143 0.8143 0.3720  1 Hg 1.72
Au1 0.5000 0.5000 0.0000  4 H 1.71-1.72
Hg1 0.0000 0.0000 0.0000  2 H 1.72
Cs1 0.7501 0.2499 0.5000  12 H 3.17-3.23
Cs2 0.2499 0.7501 0.5000  12 H 3.17-3.23

Output
size of the total moment	0.00	μB/atom
ρ	6.18	g cm⁻³
total DFT energy (no corrections)	-2.61	eV/atom
crystal system	monoclinic
V	179.8	Å³/f.u.

The following is a DFT calculation (PBE-GGA) of a geometry-optimized Tb6Pm2Nd3 structure.

a = 6.2110 Å, b = 6.2242 Å, c = 11.7407 Å
α = 84.87°, β = 79.67°, γ = 60.07°
Closest atoms and distances in Å follow each position.
Fractional positions:
Pm1 0.1663 0.6674 0.5000  6 Tb 3.54, 3 Pm 3.59
Pm2 0.8337 0.3326 0.5000  6 Tb 3.54, 3 Pm 3.59
Nd1 0.0000 0.0000 0.0000  6 Tb 3.57, 6 Nd 3.58-3.62
Nd2 0.3357 0.3287 0.0000  6 Nd 3.55-3.62, 6 Tb 3.55-3.58
Nd3 0.6643 0.6713 0.0000  6 Nd 3.55-3.62, 6 Tb 3.55-3.58
Tb1 0.0842 0.3331 0.7482  2 Pm 3.54, 3 Nd 3.57-3.58, 6 Tb 3.59-3.60
Tb2 0.5828 0.3331 0.2518  2 Pm 3.54, 3 Nd 3.57-3.58, 6 Tb 3.59-3.60
Tb3 0.4172 0.6669 0.7482  2 Pm 3.54, 3 Nd 3.57-3.58, 6 Tb 3.59-3.60
Tb4 0.7504 0.0000 0.7487  2 Pm 3.54, 3 Nd 3.55-3.57, 6 Tb 3.59-3.60
Tb5 0.2496 0.0000 0.2513  2 Pm 3.54, 3 Nd 3.55-3.57, 6 Tb 3.59-3.60
Tb6 0.9158 0.6669 0.2518  2 Pm 3.54, 3 Nd 3.57-3.58, 6 Tb 3.59-3.60

Output
formation energy from the elements	0.188	eV/atom
size of the total moment	0.00	μB/atom
ρ	7.19	g cm⁻³
total DFT energy (no corrections)	-4.50	eV/atom
crystal system	monoclinic
V	387.0	Å³/f.u.

The following is a DFT calculation (PBE-GGA) of a geometry-optimized NaCuIrCl6 structure.

a = 6.3742 Å, b = 6.3742 Å, c = 10.9457 Å
α = 90.00°, β = 90.00°, γ = 120.00°
Closest atoms and distances in Å follow each position.
Fractional positions:
Cl1 0.9604 0.3199 0.1225  1 Ir 2.37, 1 Cu 2.56
Cl2 0.6801 0.0396 0.3775  1 Ir 2.37, 1 Cu 2.56
Cl3 0.0396 0.3595 0.6225  1 Ir 2.37, 1 Cu 2.56
Cl4 0.3595 0.0396 0.1225  1 Ir 2.37, 1 Cu 2.56
Cl5 0.0396 0.6801 0.8775  1 Ir 2.37, 1 Cu 2.56
Cl6 0.6405 0.6801 0.6225  1 Ir 2.37, 1 Cu 2.56
Cl7 0.6405 0.9604 0.8775  1 Ir 2.37, 1 Cu 2.56
Cl8 0.9604 0.6405 0.3775  1 Ir 2.37, 1 Cu 2.56
Cl9 0.3595 0.3199 0.3775  1 Ir 2.37, 1 Cu 2.56
Cl10 0.6801 0.6405 0.1225  1 Ir 2.37, 1 Cu 2.56
Cl11 0.3199 0.3595 0.8775  1 Ir 2.37, 1 Cu 2.56
Cl12 0.3199 0.9604 0.6225  1 Ir 2.37, 1 Cu 2.56
Na1 0.3333 0.6667 0.2500  6 Cl 2.69
Na2 0.6667 0.3333 0.7500  6 Cl 2.69
Ir1 0.3333 0.6667 0.7500  6 Cl 2.37
Ir2 0.6667 0.3333 0.2500  6 Cl 2.37
Cu1 0.0000 0.0000 0.0000  6 Cl 2.56
Cu2 0.0000 0.0000 0.5000  6 Cl 2.56

Output
size of the total moment	0.08	μB/atom
raw formation energy	-15.7	kcal/mol of atoms
ρ	4.24	g cm⁻³
total DFT energy (no corrections)	-3.50	eV/atom
crystal system	trigonal
V	192.6	Å³/f.u.

The following is a DFT calculation (PBE-GGA) of a geometry-optimized Zr2ScSnC structure.

a = 4.5785 Å, b = 4.5785 Å, c = 4.5270 Å
α = 90.00°, β = 90.00°, γ = 90.00°
Closest atoms and distances in Å follow each position.
Fractional positions:
Zr1 0.5000 0.0000 0.0000  2 C 2.29
Zr2 0.0000 0.5000 0.0000  2 C 2.29
C1 0.0000 0.0000 0.0000  2 Sc 2.26, 4 Zr 2.29
Sc1 0.0000 0.0000 0.5000  2 C 2.26
Sn1 0.5000 0.5000 0.5000  8 Zr 3.22, 4 Sc 3.24

Output
formation energy from the elements	-0.626	eV/atom
size of the total moment	0.00	μB/atom
ρ	6.27	g cm⁻³
total DFT energy (no corrections)	-7.96	eV/atom
crystal system	tetragonal
V	94.9	Å³/f.u.

The following is a DFT calculation (PBE-GGA) of a geometry-optimized ReSbSeBr2 structure.

a = 5.1463 Å, b = 5.1463 Å, c = 4.7931 Å
α = 90.00°, β = 90.00°, γ = 90.00°
Closest atoms and distances in Å follow each position.
Fractional positions:
Re1 0.0000 0.0000 0.0000  2 Se 2.40, 4 Br 2.57
Br1 0.5000 0.0000 0.0000  2 Re 2.57
Br2 0.0000 0.5000 0.0000  2 Re 2.57
Se1 0.0000 0.0000 0.5000  2 Re 2.40
Sb1 0.5000 0.5000 0.5000  8 Br 3.52, 4 Se 3.64

Output
size of the total moment	0.15	μB/atom
raw formation energy	14.2	kcal/mol of atoms
ρ	7.15	g cm⁻³
total DFT energy (no corrections)	-4.06	eV/atom
crystal system	tetragonal
V	126.9	Å³/f.u.

The following is a DFT calculation (PBE-GGA) of a geometry-optimized Sr4Ir3 structure.

a = 5.6536 Å, b = 5.6536 Å, c = 6.4672 Å
α = 90.00°, β = 90.00°, γ = 120.00°
Closest atoms and distances in Å follow each position.
Fractional positions:
Ir1 0.5000 0.5000 0.0000  4 Ir 2.83
Ir2 0.5000 0.0000 0.0000  4 Ir 2.83
Ir3 0.0000 0.5000 0.0000  4 Ir 2.83
Sr1 0.0000 0.0000 0.7787  1 Sr 2.86, 6 Ir 3.17
Sr2 0.6667 0.3333 0.5000  3 Sr 3.26, 6 Ir 3.62
Sr3 0.3333 0.6667 0.5000  3 Sr 3.26, 6 Ir 3.62
Sr4 0.0000 0.0000 0.2213  1 Sr 2.86, 6 Ir 3.17

Output
formation energy from the elements	0.212	eV/atom
size of the total moment	0.15	μB/atom
ρ	8.60	g cm⁻³
total DFT energy (no corrections)	-4.55	eV/atom
crystal system	hexagonal
V	179.0	Å³/f.u.

The following is a DFT calculation (PBE-GGA) of a geometry-optimized Mg2CdPbCl8 structure.

a = 6.3991 Å, b = 6.1520 Å, c = 7.9083 Å
α = 90.00°, β = 90.00°, γ = 89.37°
Closest atoms and distances in Å follow each position.
Fractional positions:
Cl1 0.8166 0.2452 0.7690  1 Mg 2.55, 1 Cd 2.64, 1 Pb 2.85
Cl2 0.8166 0.2452 0.2310  1 Mg 2.55, 1 Cd 2.64, 1 Pb 2.85
Cl3 0.6482 0.7042 0.5000  2 Mg 2.59
Cl4 0.3518 0.2958 0.5000  2 Mg 2.59
Cl5 0.3379 0.2830 0.0000  2 Mg 2.56, 1 Cd 2.79
Cl6 0.6621 0.7170 0.0000  2 Mg 2.56, 1 Cd 2.79
Cl7 0.1834 0.7548 0.7690  1 Mg 2.55, 1 Cd 2.64, 1 Pb 2.85
Cl8 0.1834 0.7548 0.2310  1 Mg 2.55, 1 Cd 2.64, 1 Pb 2.85
Pb1 0.0000 0.0000 0.5000  6 Cl 2.85-2.91
Cd1 0.0000 0.0000 0.0000  6 Cl 2.64-2.79
Mg1 0.5000 0.5000 0.2413  6 Cl 2.55-2.59
Mg2 0.5000 0.5000 0.7587  6 Cl 2.55-2.59

Output
size of the total moment	0.00	μB/atom
raw formation energy	-33.0	kcal/mol of atoms
ρ	3.48	g cm⁻³
total DFT energy (no corrections)	-3.32	eV/atom
crystal system	monoclinic
V	311.3	Å³/f.u.

The following is a DFT calculation (PBE-GGA) of a geometry-optimized Ti12Sn6Au structure.

a = 7.8293 Å, b = 7.8293 Å, c = 7.8293 Å
α = 110.64°, β = 110.64°, γ = 110.64°
Closest atoms and distances in Å follow each position.
Fractional positions:
Sn1 0.3741 0.0802 0.5889  8 Ti 2.82-3.12, 3 Sn 3.07-3.14
Sn2 0.6259 0.9198 0.4111  8 Ti 2.82-3.12, 3 Sn 3.07-3.14
Sn3 0.4111 0.6259 0.9198  8 Ti 2.82-3.12, 3 Sn 3.07-3.14
Sn4 0.0802 0.5889 0.3741  8 Ti 2.82-3.12, 3 Sn 3.07-3.14
Sn5 0.9198 0.4111 0.6259  8 Ti 2.82-3.12, 3 Sn 3.07-3.14
Sn6 0.5889 0.3741 0.0802  8 Ti 2.82-3.12, 3 Sn 3.07-3.14
Au1 0.0000 0.0000 0.0000  12 Ti 2.90-3.01
Ti1 0.4563 0.2008 0.3128  4 Sn 2.82-3.12, 7 Ti 2.86-3.08, 1 Au 2.90
Ti2 0.3128 0.4563 0.2008  4 Sn 2.82-3.12, 7 Ti 2.86-3.08, 1 Au 2.90
Ti3 0.7307 0.0912 0.1685  5 Sn 2.86-3.20, 6 Ti 2.92-3.04, 1 Au 3.01
Ti4 0.2008 0.3128 0.4563  4 Sn 2.82-3.12, 7 Ti 2.86-3.08, 1 Au 2.90
Ti5 0.8315 0.2693 0.9088  5 Sn 2.86-3.20, 6 Ti 2.92-3.04, 1 Au 3.01
Ti6 0.7992 0.6872 0.5437  4 Sn 2.82-3.12, 7 Ti 2.86-3.08, 1 Au 2.90
Ti7 0.6872 0.5437 0.7992  4 Sn 2.82-3.12, 7 Ti 2.86-3.08, 1 Au 2.90
Ti8 0.0912 0.1685 0.7307  5 Sn 2.86-3.20, 6 Ti 2.92-3.04, 1 Au 3.01
Ti9 0.5437 0.7992 0.6872  4 Sn 2.82-3.12, 7 Ti 2.86-3.08, 1 Au 2.90
Ti10 0.2693 0.9088 0.8315  5 Sn 2.86-3.20, 6 Ti 2.92-3.04, 1 Au 3.01
Ti11 0.9088 0.8315 0.2693  5 Sn 2.86-3.20, 6 Ti 2.92-3.04, 1 Au 3.01
Ti12 0.1685 0.7307 0.0912  5 Sn 2.86-3.20, 6 Ti 2.92-3.04, 1 Au 3.01

Output
formation energy from the elements	-0.241	eV/atom
size of the total moment	0.16	μB/atom
ρ	6.99	g cm⁻³
total DFT energy (no corrections)	-6.66	eV/atom
crystal system	trigonal
V	352.6	Å³/f.u.

The following is a DFT calculation (PBE-GGA) of a geometry-optimized Hf2AlH2 structure.

a = 3.6924 Å, b = 3.6922 Å, c = 5.3840 Å
α = 109.89°, β = 109.90°, γ = 90.53°
Closest atoms and distances in Å follow each position.
Fractional positions:
H1 0.7504 0.2494 0.5000  4 Hf 2.03
H2 0.2496 0.7506 0.5000  4 Hf 2.03
Hf1 0.6599 0.6598 0.3202  4 H 2.03
Hf2 0.3401 0.3402 0.6798  4 H 2.03
Al1 0.0000 0.0000 0.0000  8 H 2.99, 10 Hf 3.00-3.20

Output
size of the total moment	0.00	μB/atom
ρ	9.98	g cm⁻³
total DFT energy (no corrections)	-6.43	eV/atom
crystal system	orthorhombic
V	64.2	Å³/f.u.

The following is a DFT calculation (PBE-GGA) of a geometry-optimized Dy3ThCd4 structure.

a = 5.2812 Å, b = 7.6827 Å, c = 10.5649 Å
α = 90.00°, β = 90.00°, γ = 90.00°
Closest atoms and distances in Å follow each position.
Fractional positions:
Dy1 0.0000 0.0000 0.0000  8 Cd 3.22
Dy2 0.5000 0.5000 0.2500  8 Cd 3.31
Dy3 0.5000 0.0000 0.2500  8 Cd 3.22
Dy4 0.0000 0.0000 0.5000  8 Cd 3.22
Dy5 0.5000 0.5000 0.7500  8 Cd 3.31
Dy6 0.5000 0.0000 0.7500  8 Cd 3.22
Th1 0.0000 0.5000 0.0000  8 Cd 3.31
Th2 0.0000 0.5000 0.5000  8 Cd 3.31
Cd1 0.5000 0.7594 0.5000  6 Dy 3.22-3.31, 2 Th 3.31
Cd2 0.0001 0.7594 0.7500  6 Dy 3.22-3.31, 2 Th 3.31
Cd3 0.0001 0.2406 0.7500  6 Dy 3.22-3.31, 2 Th 3.31
Cd4 0.5000 0.2406 0.5000  6 Dy 3.22-3.31, 2 Th 3.31
Cd5 0.9999 0.2406 0.2500  6 Dy 3.22-3.31, 2 Th 3.31
Cd6 0.5000 0.7594 0.0000  6 Dy 3.22-3.31, 2 Th 3.31
Cd7 0.9999 0.7594 0.2500  6 Dy 3.22-3.31, 2 Th 3.31
Cd8 0.5000 0.2406 0.0000  6 Dy 3.22-3.31, 2 Th 3.31

Output
formation energy from the elements	-0.239	eV/atom
size of the total moment	0.00	μB/atom
ρ	9.06	g cm⁻³
total DFT energy (no corrections)	-3.35	eV/atom
crystal system	tetragonal
V	214.3	Å³/f.u.

The following is a DFT calculation (PBE-GGA) of a geometry-optimized LaNd2ScAs4 structure.

a = 4.2202 Å, b = 7.2925 Å, c = 7.2825 Å
α = 70.58°, β = 90.00°, γ = 90.00°
Closest atoms and distances in Å follow each position.
Fractional positions:
As1 0.5000 0.7361 0.2665  2 Sc 2.89, 3 Nd 2.96-3.07, 1 La 2.99
As2 0.0000 0.7450 0.7393  1 Sc 2.88, 3 Nd 2.97-3.07, 2 La 3.00
As3 0.5000 0.2639 0.7335  2 Sc 2.89, 3 Nd 2.96-3.07, 1 La 2.99
As4 0.0000 0.2550 0.2607  1 Sc 2.88, 3 Nd 2.97-3.07, 2 La 3.00
Sc1 0.0000 0.5000 0.5000  6 As 2.88-2.89
Nd1 0.5000 0.0000 0.5000  6 As 2.96-2.97
Nd2 0.0000 0.0000 0.0000  6 As 3.07
La1 0.5000 0.5000 0.0000  6 As 2.99-3.00

Output
formation energy from the elements	-1.438	eV/atom
size of the total moment	0.00	μB/atom
ρ	6.06	g cm⁻³
total DFT energy (no corrections)	-6.36	eV/atom
crystal system	monoclinic
V	211.4	Å³/f.u.